Entry 1:
Below is a crystal of CdPtS2 relaxed with PBEsol, with properties calculated at the meta-GGA SCAN level.

Cell lengths 3.6106, 3.6106, 22.3645 Å; angles 90.00, 90.00, 120.00 degrees
Space group R-3m (No. 166, hexagonal axes)
Unique sites:
Cd 0.0000 0.0000 0.0000 x3
Pt 0.0000 0.0000 0.5000 x3
S 0.0000 0.0000 0.4024 x6

Properties
ΔE_f (raw) (eV/atom): 0.01
Total moment (μB per formula unit): 0.00
Final energy (Ha/atom): -1.10087
Crystal system: trigonal

Entry 2:
Below is a crystal of Cd2SbPt relaxed with PBEsol, with properties calculated at the meta-GGA SCAN level.

Cell lengths 4.1958, 4.1958, 8.8541 Å; angles 90.00, 90.00, 90.00 degrees
Space group I4/mmm (No. 139)
Unique sites:
Cd 0.0000 0.5000 0.2500 x4
Sb 0.0000 0.0000 0.0000 x2
Pt 0.0000 0.0000 0.5000 x2

Properties
ΔE_f (raw) (eV/atom): -0.05
Total moment (μB per formula unit): 0.00
Final energy (Ha/atom): -1.54782
Crystal system: tetragonal

Entry 3:
Below is a crystal of Cd2SbPt relaxed with PBEsol, with properties calculated at the meta-GGA SCAN level.

Cell lengths 3.0177, 4.6069, 12.5232 Å; angles 90.00, 90.00, 90.00 degrees
Space group Imm2 (No. 44)
Unique sites:
Cd 0.0000 0.0000 0.0000 x2
Cd 0.0000 0.5000 0.1727 x2
Sb 0.0000 0.0000 0.3757 x2
Pt 0.0000 0.5000 0.6926 x2

Properties
ΔE_f (raw) (eV/atom): -0.22
Total moment (μB per formula unit): 0.00
Final energy (Ha/atom): -1.55408
Crystal system: orthorhombic

Entry 4:
Below is a crystal of Cd2SbPt relaxed with PBEsol, with properties calculated at the meta-GGA SCAN level.

Cell lengths 3.0038, 3.1059, 8.8346 Å; angles 90.00, 90.00, 90.00 degrees
Space group Pmmm (No. 47)
Unique sites:
Cd 0.0000 0.0000 0.2049 x2
Sb 0.5000 0.5000 0.5000 x1
Pt 0.5000 0.5000 0.0000 x1

Properties
ΔE_f (raw) (eV/atom): -0.08
Total moment (μB per formula unit): 0.00
Final energy (Ha/atom): -1.54888
Crystal system: orthorhombic

Entry 5:
Below is a crystal of ScCdPt2 relaxed with PBEsol, with properties calculated at the meta-GGA SCAN level.

Cell lengths 5.8725, 6.4198, 3.5787 Å; angles 90.00, 90.00, 90.00 degrees
Space group Cmmm (No. 65)
Unique sites:
Sc 0.0000 0.0000 0.0000 x2
Cd 0.0000 0.5000 0.0000 x2
Pt 0.2500 0.2500 0.5000 x4

Properties
Calculated formation energy (eV/atom): -0.926
Total moment (μB per formula unit): 0.00
Final energy (Ha/atom): -1.73402
Crystal system: orthorhombic

Entry 6:
Below is a crystal of Sc2CdPt relaxed with PBEsol, with properties calculated at the meta-GGA SCAN level.

Cell lengths 3.3484, 3.3484, 6.8036 Å; angles 90.00, 90.00, 90.00 degrees
Space group P4/mmm (No. 123)
Unique sites:
Sc 0.0000 0.0000 0.2266 x2
Cd 0.5000 0.5000 0.5000 x1
Pt 0.5000 0.5000 0.0000 x1

Properties
Calculated formation energy (eV/atom): -0.975
Total moment (μB per formula unit): 0.00
Final energy (Ha/atom): -1.22176
Crystal system: tetragonal

Entry 7:
Below is a crystal of ScCdPt2 relaxed with PBEsol, with properties calculated at the meta-GGA SCAN level.

Cell lengths 3.5564, 3.5564, 5.4966 Å; angles 90.00, 90.00, 90.00 degrees
Space group P4mm (No. 99)
Unique sites:
Sc 0.0000 0.0000 0.0000 x1
Cd 0.5000 0.5000 0.3057 x1
Pt 0.0000 0.0000 0.5163 x1
Pt 0.5000 0.5000 0.8018 x1

Properties
Calculated formation energy (eV/atom): -0.781
Total moment (μB per formula unit): 0.00
Final energy (Ha/atom): -1.72869
Crystal system: tetragonal

Entry 8:
Below is a crystal of Sc2CdPt relaxed with PBEsol, with properties calculated at the meta-GGA SCAN level.

Cell lengths 3.4192, 4.6893, 4.6901 Å; angles 90.00, 90.00, 90.00 degrees
Space group Pmm2 (No. 25)
Unique sites:
Sc 0.0000 0.0000 0.0000 x1
Sc 0.0000 0.5000 0.4989 x1
Cd 0.5000 0.0000 0.5004 x1
Pt 0.5000 0.5000 0.9986 x1

Properties
Calculated formation energy (eV/atom): -0.919
Total moment (μB per formula unit): 0.00
Final energy (Ha/atom): -1.21970
Crystal system: orthorhombic

Entry 9:
Below is a crystal of Sc2CdPt relaxed with PBEsol, with properties calculated at the meta-GGA SCAN level.

Cell lengths 3.3897, 4.6065, 9.9615 Å; angles 90.00, 90.00, 90.00 degrees
Space group Imm2 (No. 44)
Unique sites:
Sc 0.0000 0.0000 0.0000 x2
Sc 0.0000 0.5000 0.2162 x2
Cd 0.0000 0.5000 0.7758 x2
Pt 0.0000 0.0000 0.5073 x2

Properties
Calculated formation energy (eV/atom): -0.783
Total moment (μB per formula unit): 0.00
Final energy (Ha/atom): -1.21467
Crystal system: orthorhombic

Entry 10:
Below is a crystal of ScCdPt relaxed with PBEsol, with properties calculated at the meta-GGA SCAN level.

Cell lengths 6.3435, 6.3435, 6.3435 Å; angles 90.00, 90.00, 90.00 degrees
Space group F-43m (No. 216)
Unique sites:
Sc 0.0000 0.0000 0.0000 x4
Cd 0.0000 0.0000 0.5000 x4
Pt 0.2500 0.2500 0.7500 x4

Properties
Calculated formation energy (eV/atom): -0.839
Total moment (μB per formula unit): 0.00
Final energy (Ha/atom): -1.43766
Crystal system: cubic

Entry 11:
Below is a crystal of ScCdPt2 relaxed with PBEsol, with properties calculated at the meta-GGA SCAN level.

Cell lengths 2.9901, 2.9901, 27.0573 Å; angles 90.00, 90.00, 120.00 degrees
Space group R3m (No. 160, hexagonal axes)
Unique sites:
Sc 0.0000 0.0000 0.0000 x3
Cd 0.0000 0.0000 0.7608 x3
Pt 0.0000 0.0000 0.2592 x3
Pt 0.0000 0.0000 0.5087 x3

Properties
Calculated formation energy (eV/atom): -0.287
Total moment (μB per formula unit): 0.00
Final energy (Ha/atom): -1.71057
Crystal system: trigonal

Entry 12:
Below is a crystal of ScCdPt2 relaxed with PBEsol, with properties calculated at the meta-GGA SCAN level.

Cell lengths 3.3942, 3.3942, 5.8643 Å; angles 90.00, 90.00, 90.00 degrees
Space group P4/mmm (No. 123)
Unique sites:
Sc 0.0000 0.0000 0.0000 x1
Cd 0.0000 0.0000 0.5000 x1
Pt 0.5000 0.5000 0.2465 x2

Properties
Calculated formation energy (eV/atom): -1.010
Total moment (μB per formula unit): 0.00
Final energy (Ha/atom): -1.73714
Crystal system: tetragonal

Entry 13:
Below is a crystal of ScCdPt2 relaxed with PBEsol, with properties calculated at the meta-GGA SCAN level.

Cell lengths 3.9210, 3.9210, 8.6493 Å; angles 90.00, 90.00, 90.00 degrees
Space group I-4m2 (No. 119)
Unique sites:
Sc 0.0000 0.0000 0.0000 x2
Cd 0.0000 0.5000 0.7500 x2
Pt 0.0000 0.0000 0.5000 x2
Pt 0.0000 0.5000 0.2500 x2

Properties
Calculated formation energy (eV/atom): -0.932
Total moment (μB per formula unit): 0.00
Final energy (Ha/atom): -1.73424
Crystal system: tetragonal

Entry 14:
Below is a crystal of ScCdPt relaxed with PBEsol, with properties calculated at the meta-GGA SCAN level.

Cell lengths 3.4716, 3.4716, 8.9638 Å; angles 90.00, 90.00, 90.00 degrees
Space group I4mm (No. 107)
Unique sites:
Sc 0.0000 0.0000 0.0000 x2
Cd 0.0000 0.0000 0.3157 x2
Pt 0.0000 0.0000 0.6415 x2

Properties
Calculated formation energy (eV/atom): -0.935
Total moment (μB per formula unit): 0.00
Final energy (Ha/atom): -1.44119
Crystal system: tetragonal

Entry 15:
Below is a crystal of ScCdPt3 relaxed with PBEsol, with properties calculated at the meta-GGA SCAN level.

Cell lengths 4.7343, 4.7343, 4.7343 Å; angles 90.00, 90.00, 90.00 degrees
Space group Pm-3m (No. 221)
Unique sites:
Sc 0.0000 0.0000 0.0000 x1
Cd 0.5000 0.5000 0.5000 x1
Pt 0.0000 0.0000 0.5000 x3

Properties
Calculated formation energy (eV/atom): 0.503
Total moment (μB per formula unit): 0.00
Final energy (Ha/atom): -1.85741
Crystal system: cubic

Entry 16:
Below is a crystal of Cd2PtSe relaxed with PBEsol, with properties calculated at the meta-GGA SCAN level.

Cell lengths 4.0927, 4.0927, 8.7813 Å; angles 90.00, 90.00, 90.00 degrees
Space group I-4m2 (No. 119)
Unique sites:
Cd 0.0000 0.0000 0.0000 x2
Cd 0.0000 0.5000 0.2500 x2
Pt 0.0000 0.0000 0.5000 x2
Se 0.0000 0.5000 0.7500 x2

Properties
ΔE_f (raw) (eV/atom): -0.03
Total moment (μB per formula unit): 0.00
Final energy (Ha/atom): -1.38942
Crystal system: tetragonal

Entry 17:
Below is a crystal of CdPt2Se relaxed with PBEsol, with properties calculated at the meta-GGA SCAN level.

Cell lengths 2.8290, 4.8150, 5.0398 Å; angles 90.00, 90.00, 90.00 degrees
Space group Pmm2 (No. 25)
Unique sites:
Cd 0.0000 0.0000 0.0000 x1
Pt 0.5000 0.0000 0.5069 x1
Pt 0.5000 0.5000 0.8594 x1
Se 0.5000 0.5000 0.3615 x1

Properties
ΔE_f (raw) (eV/atom): -0.12
Total moment (μB per formula unit): 0.00
Final energy (Ha/atom): -1.75821
Crystal system: orthorhombic

Entry 18:
Below is a crystal of Cd2PtSe relaxed with PBEsol, with properties calculated at the meta-GGA SCAN level.

Cell lengths 3.0465, 3.0465, 8.1641 Å; angles 90.00, 90.00, 90.00 degrees
Space group P4/mmm (No. 123)
Unique sites:
Cd 0.0000 0.0000 0.2224 x2
Pt 0.5000 0.5000 0.0000 x1
Se 0.5000 0.5000 0.5000 x1

Properties
ΔE_f (raw) (eV/atom): -0.11
Total moment (μB per formula unit): 0.00
Final energy (Ha/atom): -1.39227
Crystal system: tetragonal

Entry 19:
Below is a crystal of Cd2SiPt relaxed with PBEsol, with properties calculated at the meta-GGA SCAN level.

Cell lengths 6.5073, 6.5073, 6.5073 Å; angles 90.00, 90.00, 90.00 degrees
Space group F-43m (No. 216)
Unique sites:
Cd 0.0000 0.0000 0.0000 x4
Cd 0.2500 0.2500 0.2500 x4
Si 0.0000 0.0000 0.5000 x4
Pt 0.2500 0.2500 0.7500 x4

Properties
ΔE_f (raw) (eV/atom): 0.14
Total moment (μB per formula unit): 0.00
Final energy (Ha/atom): -1.29072
Crystal system: cubic

Entry 20:
Below is a crystal of CdSi2Pt relaxed with PBEsol, with properties calculated at the meta-GGA SCAN level.

Cell lengths 2.7637, 3.4320, 6.9062 Å; angles 90.00, 90.00, 90.00 degrees
Space group Pmm2 (No. 25)
Unique sites:
Cd 0.0000 0.0000 0.0000 x1
Si 0.0000 0.0000 0.4726 x1
Si 0.5000 0.5000 0.6816 x1
Pt 0.5000 0.5000 0.2876 x1

Properties
ΔE_f (raw) (eV/atom): 0.05
Total moment (μB per formula unit): 0.00
Final energy (Ha/atom): -1.10647
Crystal system: orthorhombic

Entry 21:
Below is a crystal of Cd2SiPt relaxed with PBEsol, with properties calculated at the meta-GGA SCAN level.

Cell lengths 4.1286, 4.1286, 8.0458 Å; angles 90.00, 90.00, 90.00 degrees
Space group I-4m2 (No. 119)
Unique sites:
Cd 0.0000 0.0000 0.0000 x2
Cd 0.0000 0.5000 0.2500 x2
Si 0.0000 0.5000 0.7500 x2
Pt 0.0000 0.0000 0.5000 x2

Properties
ΔE_f (raw) (eV/atom): 0.07
Total moment (μB per formula unit): 0.00
Final energy (Ha/atom): -1.29330
Crystal system: tetragonal

Entry 22:
Below is a crystal of CdSi2Pt relaxed with PBEsol, with properties calculated at the meta-GGA SCAN level.

Cell lengths 2.9493, 2.9493, 7.6400 Å; angles 90.00, 90.00, 90.00 degrees
Space group P4/mmm (No. 123)
Unique sites:
Cd 0.0000 0.0000 0.0000 x1
Si 0.5000 0.5000 0.2909 x2
Pt 0.0000 0.0000 0.5000 x1

Properties
ΔE_f (raw) (eV/atom): 0.07
Total moment (μB per formula unit): 0.00
Final energy (Ha/atom): -1.10589
Crystal system: tetragonal

Entry 23:
Below is a crystal of CdSi2Pt relaxed with PBEsol, with properties calculated at the meta-GGA SCAN level.

Cell lengths 2.7507, 4.7242, 10.5228 Å; angles 90.00, 90.00, 90.00 degrees
Space group Immm (No. 71)
Unique sites:
Cd 0.0000 0.0000 0.0000 x2
Si 0.0000 0.5000 0.2061 x4
Pt 0.0000 0.0000 0.5000 x2

Properties
ΔE_f (raw) (eV/atom): 0.05
Total moment (μB per formula unit): 0.00
Final energy (Ha/atom): -1.10662
Crystal system: orthorhombic

Entry 24:
Below is a crystal of Sr2CdPt relaxed with PBEsol, with properties calculated at the meta-GGA SCAN level.

Cell lengths 4.5733, 4.4310, 11.4941 Å; angles 90.00, 90.00, 90.00 degrees
Space group Amm2 (No. 38)
Unique sites:
Sr 0.0000 0.0000 0.0000 x2
Sr 0.5000 0.0000 0.2841 x2
Cd 0.0000 0.0000 0.7047 x2
Pt 0.5000 0.0000 0.5701 x2

Properties
Calculated formation energy (eV/atom): -0.666
Total moment (μB per formula unit): 0.00
Final energy (Ha/atom): -1.35810
Crystal system: orthorhombic

Entry 25:
Below is a crystal of Sr2CdPt relaxed with PBEsol, with properties calculated at the meta-GGA SCAN level.

Cell lengths 3.7222, 3.7222, 7.8006 Å; angles 90.00, 90.00, 90.00 degrees
Space group P4/mmm (No. 123)
Unique sites:
Sr 0.0000 0.0000 0.2205 x2
Cd 0.5000 0.5000 0.5000 x1
Pt 0.5000 0.5000 0.0000 x1

Properties
Calculated formation energy (eV/atom): -0.624
Total moment (μB per formula unit): 0.00
Final energy (Ha/atom): -1.35656
Crystal system: tetragonal

Entry 26:
Below is a crystal of SrCdPt3 relaxed with PBEsol, with properties calculated at the meta-GGA SCAN level.

Cell lengths 4.9452, 4.9452, 4.9452 Å; angles 90.00, 90.00, 90.00 degrees
Space group Pm-3m (No. 221)
Unique sites:
Sr 0.0000 0.0000 0.0000 x1
Cd 0.5000 0.5000 0.5000 x1
Pt 0.0000 0.5000 0.5000 x3

Properties
Calculated formation energy (eV/atom): 0.343
Total moment (μB per formula unit): 0.00
Final energy (Ha/atom): -1.92238
Crystal system: cubic

Entry 27:
Below is a crystal of Sr2CdPt relaxed with PBEsol, with properties calculated at the meta-GGA SCAN level.

Cell lengths 4.2277, 4.2277, 24.9553 Å; angles 90.00, 90.00, 120.00 degrees
Space group R-3m (No. 166, hexagonal axes)
Unique sites:
Sr 0.0000 0.0000 0.2338 x6
Cd 0.0000 0.0000 0.0000 x3
Pt 0.0000 0.0000 0.5000 x3

Properties
Calculated formation energy (eV/atom): -0.528
Total moment (μB per formula unit): 0.00
Final energy (Ha/atom): -1.35301
Crystal system: trigonal

Entry 28:
Below is a crystal of TaCd2Pt relaxed with PBEsol, with properties calculated at the meta-GGA SCAN level.

Cell lengths 2.9280, 2.9280, 28.5576 Å; angles 90.00, 90.00, 120.00 degrees
Space group R-3m (No. 166, hexagonal axes)
Unique sites:
Ta 0.0000 0.0000 0.0000 x3
Cd 0.0000 0.0000 0.2458 x6
Pt 0.0000 0.0000 0.5000 x3

Properties
Calculated formation energy (eV/atom): 0.106
Excess energy over the best structure of this formula in the dataset (meV per atom): 208.4
Total moment (μB per formula unit): 0.00
Final energy (Ha/atom): -1.81157
Crystal system: trigonal

Entry 29:
Below is a crystal of TaCd2Pt relaxed with PBEsol, with properties calculated at the meta-GGA SCAN level.

Cell lengths 2.9112, 2.9112, 29.2834 Å; angles 90.00, 90.00, 120.00 degrees
Space group R3m (No. 160, hexagonal axes)
Unique sites:
Ta 0.0000 0.0000 0.0000 x3
Cd 0.0000 0.0000 0.5114 x3
Cd 0.0000 0.0000 0.7537 x3
Pt 0.0000 0.0000 0.2604 x3

Properties
Calculated formation energy (eV/atom): -0.102
Excess energy over the best structure of this formula in the dataset (meV per atom): 0.0
Total moment (μB per formula unit): 0.00
Final energy (Ha/atom): -1.81923
Crystal system: trigonal

Entry 30:
Below is a crystal of TaCdPt2 relaxed with PBEsol, with properties calculated at the meta-GGA SCAN level.

Cell lengths 9.6054, 2.8294, 4.8877 Å; angles 90.00, 99.35, 90.00 degrees
Space group Cm (No. 8)
Unique sites:
Ta 0.0000 0.0000 0.0000 x2
Cd 0.2378 0.0000 0.6792 x2
Pt 0.2437 0.5000 0.1777 x2
Pt 0.4875 0.0000 0.4867 x2

Properties
Calculated formation energy (eV/atom): -0.472
Total moment (μB per formula unit): 0.00
Final energy (Ha/atom): -2.19826
Crystal system: monoclinic

Entry 31:
Below is a crystal of Ta4CdPt relaxed with PBEsol, with properties calculated at the meta-GGA SCAN level.

Cell lengths 7.5654, 7.5654, 7.5654 Å; angles 90.00, 90.00, 90.00 degrees
Space group F-43m (No. 216)
Unique sites:
Ta 0.1241 0.1241 0.3759 x16
Cd 0.2500 0.2500 0.7500 x4
Pt 0.0000 0.0000 0.0000 x4

Properties
Calculated formation energy (eV/atom): 0.244
Total moment (μB per formula unit): 0.00
Final energy (Ha/atom): -2.23850
Crystal system: cubic